Entry 1:
Density functional theory data (PBE) for Nd4Ho3Sc after structural relaxation.

Results
The symmetry is No. 12. Its density of states at the Fermi level is 12.66 states/eV/f.u. For the energy of formation from the pure elements, the calculation gives 156.3 meV/atom. The calculation puts the total moment at 0.00 μB per cell.

Unit cell a=3.679 b=5.452 c=13.549 alpha=101.61 beta=97.80 gamma=90.00
Positions (direct):
Sc 0.000 0.500 0.000
Ho 0.500 0.000 0.000
Ho 0.139 0.139 0.279
Ho 0.861 0.861 0.721
Nd 0.717 0.719 0.437
Nd 0.404 0.405 0.810
Nd 0.596 0.595 0.190
Nd 0.283 0.281 0.563

=====

Entry 2:
Density functional theory data (PBE) for Nd4Ho2Sc after structural relaxation.

Results
The symmetry is No. 65. Its density of states at the Fermi level is 12.42 states/eV/f.u. For the energy of formation from the pure elements, the calculation gives 523.1 meV/atom. The calculation puts the total moment at 0.00 μB per cell.

Unit cell a=5.972 b=6.151 c=7.143 alpha=115.51 beta=90.00 gamma=90.00
Positions (direct):
Sc 0.000 0.500 0.000
Nd 0.000 0.813 0.625
Nd 0.500 0.636 0.272
Nd 0.500 0.364 0.728
Nd 0.000 0.187 0.375
Ho 0.500 0.112 0.225
Ho 0.500 0.888 0.775

=====

Entry 3:
Density functional theory data (PBE) for Nd4Ho5Sc2 after structural relaxation.

Results
The symmetry is No. 71. Its density of states at the Fermi level is 16.35 states/eV/f.u. For the energy of formation from the pure elements, the calculation gives 312.8 meV/atom. The calculation puts the total moment at 0.00 μB per cell.

Unit cell a=3.460 b=9.299 c=12.195 alpha=112.41 beta=98.16 gamma=90.00
Positions (direct):
Ho 0.845 0.639 0.689
Ho 0.500 0.000 0.000
Ho 0.155 0.361 0.311
Ho 0.155 0.950 0.311
Ho 0.845 0.050 0.689
Sc 0.271 0.271 0.541
Sc 0.729 0.729 0.459
Nd 0.598 0.598 0.197
Nd 0.402 0.402 0.803
Nd 0.000 0.706 0.000
Nd 0.000 0.294 0.000